(1)
DFT (PBE-GGA) results for a geometry-optimized Pm6Te3Se2 structure.

a = 21.546 Å, b = 21.546 Å, c = 21.546 Å
α = 11.35°, β = 11.35°, γ = 11.35°
Positions (direct):
1 Pm 0.092 0.092 0.092
2 Pm 0.190 0.190 0.190
3 Pm 0.363 0.363 0.363
4 Pm 0.637 0.637 0.637
5 Pm 0.810 0.810 0.810
6 Pm 0.908 0.908 0.908
7 Te 0.000 0.000 0.000
8 Te 0.272 0.272 0.272
9 Te 0.728 0.728 0.728
10 Se 0.451 0.451 0.451
11 Se 0.549 0.549 0.549

Summary:
For the total energy, the calculation gives -5.48 eV per atom. The calculation puts the density of states at the Fermi level at 6.22 states/eV per cell. The calculated volume comes out at 337 Å³/f.u. Its symmetry is R-3m (166).

(2)
DFT (PBE-GGA) results for a geometry-optimized TePb4Se2S structure.

a = 7.656 Å, b = 4.421 Å, c = 7.659 Å
α = 90.00°, β = 109.49°, γ = 90.00°
Positions (direct):
1 Te 0.000 0.000 0.000
2 Pb 0.249 0.000 0.739
3 Pb 0.256 0.500 0.265
4 Pb 0.744 0.500 0.735
5 Pb 0.751 0.000 0.261
6 Se 0.500 0.000 0.500
7 Se 0.500 0.500 0.000
8 S 0.000 0.500 0.500

Summary:
For the total energy, the calculation gives -4.13 eV per atom. The calculation puts the density of states at the Fermi level at 0.05 states/eV per cell. The calculated volume comes out at 244 Å³/f.u. Its symmetry is P2/m (10).

What did the second record say?
DFT (PBE-GGA) results for a geometry-optimized TePb4Se2S structure.

a = 7.656 Å, b = 4.421 Å, c = 7.659 Å
α = 90.00°, β = 109.49°, γ = 90.00°
Positions (direct):
1 Te 0.000 0.000 0.000
2 Pb 0.249 0.000 0.739
3 Pb 0.256 0.500 0.265
4 Pb 0.744 0.500 0.735
5 Pb 0.751 0.000 0.261
6 Se 0.500 0.000 0.500
7 Se 0.500 0.500 0.000
8 S 0.000 0.500 0.500

Summary:
For the total energy, the calculation gives -4.13 eV per atom. The calculation puts the density of states at the Fermi level at 0.05 states/eV per cell. The calculated volume comes out at 244 Å³/f.u. Its symmetry is P2/m (10).

Number 2 is which compound?
TePb4Se2S

Look up the calculated volume of the second one.
244 Å³/f.u.

The highest calculated volume belongs to which entry?
Pm6Te3Se2